<a>
An optimized crystal structure of Li2TlAsH. Source: Alexandria, functional PBE.

Results
The total magnetic moment is 0.00 μB/f.u. Its crystal system is tetragonal.

abc: 4.515 4.515 3.942
angles: 90.00 90.00 90.00
Element x y z (fractional)
Li 0.000 0.500 0.000
Li 0.500 0.000 0.000
Tl 0.000 0.000 0.500
As 0.500 0.500 0.500
H 0.500 0.500 0.000

<b>
An optimized crystal structure of Li2TlAsH. Source: Alexandria, functional PBE.

Results
The total magnetic moment is 0.00 μB/f.u. Its crystal system is tetragonal.

abc: 4.190 4.190 4.716
angles: 90.00 90.00 90.00
Element x y z (fractional)
Li 0.000 0.500 0.000
Li 0.500 0.000 0.000
Tl 0.000 0.000 0.500
As 0.500 0.500 0.500
H 0.000 0.000 0.000

Energies relative to the most stable structure, in eV/atom: <a> 0.033; <b> 0.000.

<a>
An optimized crystal structure of MgAs3H. Source: Alexandria, functional PBE.

Results
The total magnetic moment is 0.61 μB/f.u. Its crystal system is cubic.

abc: 4.987 4.987 4.987
angles: 90.00 90.00 90.00
Element x y z (fractional)
Mg 0.000 0.000 0.000
As 0.000 0.000 0.500
As 0.000 0.500 0.000
As 0.500 0.000 0.000
H 0.500 0.500 0.500

<b>
An optimized crystal structure of MgAs3H. Source: Alexandria, functional PBE.

Results
The total magnetic moment is 0.00 μB/f.u. Its crystal system is cubic.

abc: 4.345 4.345 4.345
angles: 90.00 90.00 90.00
Element x y z (fractional)
Mg 0.000 0.000 0.000
As 0.000 0.500 0.500
As 0.500 0.000 0.500
As 0.500 0.500 0.000
H 0.500 0.500 0.500

Energies relative to the most stable structure, in eV/atom: <a> 0.781; <b> 0.000.

<a>
An optimized crystal structure of MgAsH2. Source: Alexandria, functional PBE.

Results
The total magnetic moment is 0.00 μB/f.u. Its crystal system is cubic.

abc: 3.950 3.950 3.950
angles: 60.00 60.00 60.00
Element x y z (fractional)
Mg 0.000 0.000 0.000
As 0.500 0.500 0.500
H 0.250 0.250 0.250
H 0.750 0.750 0.750

<b>
An optimized crystal structure of MgAsH2. Source: Alexandria, functional PBE.

Results
The total magnetic moment is 0.00 μB/f.u. Its crystal system is tetragonal.

abc: 5.627 5.627 5.627
angles: 130.38 130.38 72.80
Element x y z (fractional)
Mg 0.000 0.000 0.000
Mg 0.750 0.250 0.500
As 0.250 0.750 0.500
As 0.500 0.500 0.000
H 0.062 0.625 0.937
H 0.375 0.312 0.437
H 0.688 0.125 0.063
H 0.875 0.938 0.563

Energies relative to the most stable structure, in eV/atom: <a> 0.074; <b> 0.000.

<a>
An optimized crystal structure of MgAsHSe2. Source: Alexandria, functional PBE.

Results
The total magnetic moment is 1.28 μB/f.u. Its crystal system is tetragonal.

abc: 5.066 5.066 5.073
angles: 90.00 90.00 90.00
Element x y z (fractional)
Mg 0.000 0.000 0.000
As 0.000 0.000 0.500
H 0.500 0.500 0.500
Se 0.000 0.500 0.000
Se 0.500 0.000 0.000

<b>
An optimized crystal structure of MgAsHSe2. Source: Alexandria, functional PBE.

Results
The total magnetic moment is 0.00 μB/f.u. Its crystal system is tetragonal.

abc: 4.989 4.989 3.516
angles: 90.00 90.00 90.00
Element x y z (fractional)
Mg 0.000 0.000 0.000
As 0.500 0.500 0.000
H 0.500 0.500 0.500
Se 0.000 0.500 0.500
Se 0.500 0.000 0.500

Energies relative to the most stable structure, in eV/atom: <a> 0.670; <b> 0.000.

<a>
An optimized crystal structure of MgAs2HSe. Source: Alexandria, functional PBE.

Results
The total magnetic moment is 0.87 μB/f.u. Its crystal system is tetragonal.

abc: 5.028 5.028 5.035
angles: 90.00 90.00 90.00
Element x y z (fractional)
Mg 0.000 0.000 0.000
As 0.000 0.500 0.000
As 0.500 0.000 0.000
H 0.500 0.500 0.500
Se 0.000 0.000 0.500

<b>
An optimized crystal structure of MgAs2HSe. Source: Alexandria, functional PBE.

Results
The total magnetic moment is 0.00 μB/f.u. Its crystal system is tetragonal.

abc: 3.862 3.862 6.299
angles: 90.00 90.00 90.00
Element x y z (fractional)
Mg 0.000 0.000 0.000
As 0.000 0.500 0.500
As 0.500 0.000 0.500
H 0.500 0.500 0.500
Se 0.500 0.500 0.000

Energies relative to the most stable structure, in eV/atom: <a> 0.793; <b> 0.000.

<a>
An optimized crystal structure of MoAs2H. Source: Alexandria, functional PBE.

Results
The total magnetic moment is 0.31 μB/f.u. Its crystal system is tetragonal.

abc: 5.207 5.207 5.207
angles: 110.51 110.51 107.41
Element x y z (fractional)
Mo 0.000 0.000 0.000
Mo 0.750 0.250 0.500
As 0.209 0.625 0.084
As 0.375 0.459 0.584
As 0.541 0.125 0.916
As 0.875 0.791 0.416
H 0.250 0.750 0.500
H 0.500 0.500 0.000

<b>
An optimized crystal structure of MoAs2H. Source: Alexandria, functional PBE.

Results
The total magnetic moment is 1.06 μB/f.u. Its crystal system is cubic.

abc: 4.357 4.357 4.357
angles: 60.00 60.00 60.00
Element x y z (fractional)
Mo 0.000 0.000 0.000
As 0.250 0.250 0.250
As 0.750 0.750 0.750
H 0.500 0.500 0.500

Energies relative to the most stable structure, in eV/atom: <a> 0.000; <b> 0.201.

<a>
An optimized crystal structure of NaAsH2. Source: Alexandria, functional PBE.

Results
The total magnetic moment is 0.00 μB/f.u. Its crystal system is trigonal.

abc: 6.629 6.629 6.629
angles: 27.20 27.20 27.20
Element x y z (fractional)
Na 0.000 0.000 0.000
As 0.500 0.500 0.500
H 0.401 0.401 0.401
H 0.599 0.599 0.599

<b>
An optimized crystal structure of NaAsH2. Source: Alexandria, functional PBE.

Results
The total magnetic moment is 0.00 μB/f.u. Its crystal system is cubic.

abc: 4.035 4.035 4.035
angles: 60.00 60.00 60.00
Element x y z (fractional)
Na 0.000 0.000 0.000
As 0.500 0.500 0.500
H 0.250 0.250 0.250
H 0.750 0.750 0.750

<c>
An optimized crystal structure of NaAsH2. Source: Alexandria, functional PBE.

Results
The total magnetic moment is 0.00 μB/f.u. Its crystal system is orthorhombic.

abc: 13.905 3.651 5.923
angles: 90.00 90.00 90.00
Element x y z (fractional)
Na 0.224 0.250 0.019
Na 0.276 0.750 0.519
Na 0.724 0.250 0.481
Na 0.776 0.750 0.981
As 0.042 0.750 0.397
As 0.458 0.250 0.897
As 0.542 0.750 0.103
As 0.958 0.250 0.603
H 0.037 0.250 0.787
H 0.202 0.750 0.839
H 0.298 0.250 0.339
H 0.463 0.750 0.287
H 0.537 0.250 0.713
H 0.702 0.750 0.661
H 0.798 0.250 0.161
H 0.963 0.750 0.213

Energies relative to the most stable structure, in eV/atom: <a> 0.214; <b> 0.540; <c> 0.000.

<a>
An optimized crystal structure of Na2AsH. Source: Alexandria, functional PBE.

Results
The total magnetic moment is 0.00 μB/f.u. Its crystal system is tetragonal.

abc: 6.039 6.039 6.039
angles: 114.78 114.78 99.31
Element x y z (fractional)
Na 0.016 0.125 0.391
Na 0.375 0.984 0.109
Na 0.734 0.625 0.609
Na 0.875 0.266 0.891
As 0.250 0.750 0.500
As 0.500 0.500 0.000
H 0.000 0.000 0.000
H 0.750 0.250 0.500

<b>
An optimized crystal structure of Na2AsH. Source: Alexandria, functional PBE.

Results
The total magnetic moment is 0.52 μB/f.u. Its crystal system is cubic.

abc: 4.834 4.834 4.834
angles: 60.00 60.00 60.00
Element x y z (fractional)
Na 0.250 0.250 0.250
Na 0.750 0.750 0.750
As 0.000 0.000 0.000
H 0.500 0.500 0.500

Energies relative to the most stable structure, in eV/atom: <a> 0.000; <b> 0.179.

<a>
An optimized crystal structure of Na2AsH. Source: Alexandria, functional PBE.

Results
The total magnetic moment is 0.00 μB/f.u. Its crystal system is trigonal.

abc: 8.589 8.589 8.589
angles: 21.70 21.70 21.70
Element x y z (fractional)
Na 0.110 0.110 0.110
Na 0.890 0.890 0.890
As 0.000 0.000 0.000
H 0.500 0.500 0.500

<b>
An optimized crystal structure of Na2AsH. Source: Alexandria, functional PBE.

Results
The total magnetic moment is 0.00 μB/f.u. Its crystal system is monoclinic.

abc: 4.907 7.322 4.954
angles: 90.00 96.08 90.00
Element x y z (fractional)
Na 0.249 0.003 0.252
Na 0.249 0.497 0.252
Na 0.751 0.503 0.748
Na 0.751 0.997 0.748
As 0.262 0.250 0.761
As 0.738 0.750 0.239
H 0.018 0.250 0.531
H 0.982 0.750 0.469

Energies relative to the most stable structure, in eV/atom: <a> 0.347; <b> 0.000.

<a>
An optimized crystal structure of NaAsH. Source: Alexandria, functional PBE.

Results
The total magnetic moment is 0.00 μB/f.u. Its crystal system is triclinic.

abc: 3.024 5.230 7.229
angles: 83.67 82.19 89.90
Element x y z (fractional)
Na 0.179 0.299 0.218
Na 0.821 0.701 0.782
As 0.317 0.199 0.779
As 0.683 0.801 0.221
H 0.391 0.276 0.564
H 0.609 0.724 0.436

<b>
An optimized crystal structure of NaAsH. Source: Alexandria, functional PBE.

Results
The total magnetic moment is 0.00 μB/f.u. Its crystal system is triclinic.

abc: 4.297 4.931 6.072
angles: 111.63 98.18 97.83
Element x y z (fractional)
Na 0.181 0.251 0.274
Na 0.819 0.749 0.726
As 0.280 0.340 0.818
As 0.720 0.660 0.182
H 0.485 0.855 0.299
H 0.515 0.145 0.701

Energies relative to the most stable structure, in eV/atom: <a> 0.083; <b> 0.000.

<a>
An optimized crystal structure of NaAs2H. Source: Alexandria, functional PBE.

Results
The total magnetic moment is 0.00 μB/f.u. Its crystal system is tetragonal.

abc: 6.277 6.277 6.277
angles: 124.78 124.78 81.90
Element x y z (fractional)
Na 0.000 0.000 0.000
Na 0.750 0.250 0.500
As 0.374 0.625 0.249
As 0.375 0.624 0.749
As 0.376 0.125 0.751
As 0.875 0.626 0.251
H 0.250 0.750 0.500
H 0.500 0.500 0.000

<b>
An optimized crystal structure of NaAs2H. Source: Alexandria, functional PBE.

Results
The total magnetic moment is 0.30 μB/f.u. Its crystal system is cubic.

abc: 4.556 4.556 4.556
angles: 60.00 60.00 60.00
Element x y z (fractional)
Na 0.000 0.000 0.000
As 0.250 0.250 0.250
As 0.750 0.750 0.750
H 0.500 0.500 0.500

Energies relative to the most stable structure, in eV/atom: <a> 0.000; <b> 0.406.

<a>
An optimized crystal structure of Na2TlAsH. Source: Alexandria, functional PBE.

Results
The total magnetic moment is 0.00 μB/f.u. Its crystal system is tetragonal.

abc: 4.435 4.435 5.047
angles: 90.00 90.00 90.00
Element x y z (fractional)
Na 0.000 0.500 0.000
Na 0.500 0.000 0.000
Tl 0.000 0.000 0.500
As 0.500 0.500 0.500
H 0.000 0.000 0.000

<b>
An optimized crystal structure of Na2TlAsH. Source: Alexandria, functional PBE.

Results
The total magnetic moment is 0.00 μB/f.u. Its crystal system is tetragonal.

abc: 4.995 4.995 4.051
angles: 90.00 90.00 90.00
Element x y z (fractional)
Na 0.000 0.500 0.000
Na 0.500 0.000 0.000
Tl 0.000 0.000 0.500
As 0.500 0.500 0.500
H 0.500 0.500 0.000

Energies relative to the most stable structure, in eV/atom: <a> 0.000; <b> 0.044.

<a>
An optimized crystal structure of NbAsH2. Source: Alexandria, functional PBE.

Results
The total magnetic moment is 0.00 μB/f.u. Its crystal system is cubic.

abc: 3.881 3.881 3.881
angles: 60.00 60.00 60.00
Element x y z (fractional)
Nb 0.000 0.000 0.000
As 0.500 0.500 0.500
H 0.250 0.250 0.250
H 0.750 0.750 0.750

<b>
An optimized crystal structure of NbAsH2. Source: Alexandria, functional PBE.

Results
The total magnetic moment is 0.00 μB/f.u. Its crystal system is tetragonal.

abc: 5.294 5.294 5.294
angles: 126.52 126.52 79.04
Element x y z (fractional)
Nb 0.000 0.000 0.000
Nb 0.750 0.250 0.500
As 0.250 0.750 0.500
As 0.500 0.500 0.000
H 0.067 0.625 0.942
H 0.375 0.317 0.442
H 0.683 0.125 0.058
H 0.875 0.933 0.558

Energies relative to the most stable structure, in eV/atom: <a> 0.261; <b> 0.000.